# LiCd2

A relaxed LiCd2 crystal (PBE, the Alexandria database).

a = 5.4654 Å, b = 5.4654 Å, c = 5.4654 Å
α = 105.97°, β = 105.97°, γ = 116.72°
Fractional coordinates of all 6 atoms:
1 Li 0.2500 0.2500 0.0000
2 Li 0.7500 0.7500 0.0000
3 Cd 0.1639 0.6639 0.8279
4 Cd 0.3361 0.1639 0.5000
5 Cd 0.6639 0.8361 0.5000
6 Cd 0.8361 0.3361 0.1721

M_tot = 0.000 μB/atom
Symmetry = No. 140
Energy of formation = -0.073 eV per atom
Calculated volume = 20.69 A^3/atom